Record 1
{
  "formula": "U2PtC",
  "functional": "PBE",
  "state": "optimized geometry",
  "lattice_angstrom": [[3.0610, 0.0000, 0.0000], [1.5305, 2.6509, 0.0000], [1.5305, 0.8836, 8.5561]],
  "species": ["U", "U", "Pt", "C"],
  "frac_coords": [[0.8935, 0.8935, 0.3196], [0.1065, 0.1065, 0.6804], [0.0000, 0.0000, 0.0000], [0.5000, 0.5000, 0.5000]],
  "vol_a3_per_cell": 69
}



Record 2
{
  "formula": "U2PtC2",
  "functional": "PBE",
  "state": "optimized geometry",
  "lattice_angstrom": [[3.7500, 3.6903, 4.2219], [-0.4011, 2.0120, 6.4262], [-0.4602, -4.9088, -4.6040]],
  "species": ["Pt", "C", "C", "U", "U"],
  "frac_coords": [[0.0000, 0.0000, 0.0000], [0.1684, 0.1684, 0.0000], [0.8316, 0.8316, 0.0000], [0.6491, 0.6491, 0.0000], [0.3509, 0.3509, 0.0000]],
  "vol_a3_per_cell": 78
}



Record 3
{
  "formula": "V6Pt2C",
  "functional": "PBE",
  "state": "optimized geometry",
  "lattice_angstrom": [[-2.0666, -1.7619, 1.2059], [2.2897, -5.1990, -3.6721], [2.5803, 1.1879, 6.1574]],
  "species": ["V", "V", "V", "V", "V", "V", "Pt", "Pt", "C"],
  "frac_coords": [[0.0000, 0.7719, 0.7725], [0.0000, 0.9994, 0.2275], [0.5000, 0.3483, 0.3473], [0.5000, 0.6500, 0.0000], [0.5000, 0.0010, 0.6527], [0.0000, 0.2283, 0.0000], [0.0000, 0.3333, 0.6655], [0.0000, 0.6678, 0.3345], [0.5000, 0.9999, 0.0000]],
  "vol_a3_per_cell": 118
}



Record 4
{
  "formula": "V7Pt2C2",
  "functional": "PBE",
  "state": "optimized geometry",
  "lattice_angstrom": [[5.2058, -0.1503, -0.4874], [-0.1428, 5.5448, 0.1389], [-0.8106, 0.1463, 5.1654]],
  "species": ["V", "V", "V", "V", "V", "V", "V", "Pt", "Pt", "C", "C"],
  "frac_coords": [[0.0055, 0.7750, 0.4795], [0.0000, 0.0000, 0.0000], [0.4917, 0.2097, 0.5083], [0.9945, 0.2250, 0.5205], [0.5205, 0.7750, 0.9945], [0.4795, 0.2250, 0.0055], [0.5083, 0.7903, 0.4917], [0.8075, 0.5000, 0.8075], [0.1925, 0.5000, 0.1925], [0.7282, 0.0113, 0.2718], [0.2718, 0.9887, 0.7282]],
  "vol_a3_per_cell": 147
}



Record 5
{
  "formula": "V3PtC",
  "functional": "PBE",
  "state": "optimized geometry",
  "lattice_angstrom": [[3.9674, 0.0000, 0.0000], [0.0000, 3.9674, 0.0000], [0.0000, 0.0000, 3.9674]],
  "species": ["V", "V", "V", "Pt", "C"],
  "frac_coords": [[0.0000, 0.0000, 0.5000], [0.0000, 0.5000, 0.0000], [0.5000, 0.0000, 0.0000], [0.5000, 0.5000, 0.5000], [0.0000, 0.0000, 0.0000]],
  "de_polymorph_ev_per_atom": 0.000,
  "vol_a3_per_cell": 62
}



Record 6
{
  "formula": "V3Pt2C",
  "functional": "PBE",
  "state": "optimized geometry",
  "lattice_angstrom": [[-4.1349, 1.0291, -2.6671], [0.3434, -6.0196, -0.6112], [-1.8017, 1.4582, 5.5995]],
  "species": ["Pt", "Pt", "Pt", "Pt", "C", "C", "V", "V", "V", "V", "V", "V"],
  "frac_coords": [[0.2500, 0.9312, 0.0688], [0.7500, 0.8014, 0.1986], [0.2500, 0.1986, 0.8014], [0.7500, 0.0688, 0.9312], [0.2500, 0.5942, 0.4058], [0.7500, 0.4058, 0.5942], [0.0000, 0.5000, 0.0000], [0.5000, 0.0000, 0.5000], [0.4944, 0.5881, 0.7249], [0.9944, 0.7249, 0.5881], [0.0056, 0.2751, 0.4119], [0.5056, 0.4119, 0.2751]],
  "de_polymorph_ev_per_atom": 0.195,
  "vol_a3_per_cell": 162
}



Record 7
{
  "formula": "V2Pt2C",
  "functional": "PBE",
  "state": "optimized geometry",
  "lattice_angstrom": [[3.5235, 0.0000, 0.0000], [0.0000, 3.5235, 0.0000], [1.7617, 1.7617, 6.2097]],
  "species": ["V", "V", "Pt", "Pt", "C"],
  "frac_coords": [[0.5904, 0.5904, 0.8192], [0.4096, 0.4096, 0.1808], [0.2500, 0.7500, 0.5000], [0.7500, 0.2500, 0.5000], [0.0000, 0.0000, 0.0000]],
  "de_polymorph_ev_per_atom": 1.054,
  "vol_a3_per_cell": 77
}



Record 8
{
  "formula": "V6PtC",
  "functional": "PBE",
  "state": "optimized geometry",
  "lattice_angstrom": [[4.2548, -0.2167, -1.1826], [1.7792, 4.5983, -1.0514], [1.2152, 1.2469, 4.6885]],
  "species": ["V", "V", "V", "V", "V", "V", "C", "Pt"],
  "frac_coords": [[0.5794, 0.2412, 0.0860], [0.1961, 0.0751, 0.3506], [0.8039, 0.9249, 0.6494], [0.0617, 0.3478, 0.7997], [0.4206, 0.7588, 0.9140], [0.9383, 0.6522, 0.2003], [0.0000, 0.0000, 0.0000], [0.5000, 0.5000, 0.5000]],
  "vol_a3_per_cell": 103
}



Record 9
{
  "formula": "VPt2C",
  "functional": "PBE",
  "state": "optimized geometry",
  "lattice_angstrom": [[5.1358, 0.0000, 0.0000], [0.0000, 5.1358, 0.0000], [2.5679, 2.5679, 5.0487]],
  "species": ["Pt", "Pt", "Pt", "Pt", "C", "C", "V", "V"],
  "frac_coords": [[0.5510, 0.1250, 0.2500], [0.3750, 0.4490, 0.7500], [0.1990, 0.6250, 0.2500], [0.8750, 0.8010, 0.7500], [0.2500, 0.7500, 0.5000], [0.5000, 0.5000, 0.0000], [0.0000, 0.0000, 0.0000], [0.7500, 0.2500, 0.5000]],
  "vol_a3_per_cell": 133
}



Record 10
{
  "formula": "V3PtC",
  "functional": "PBE",
  "state": "optimized geometry",
  "lattice_angstrom": [[-3.3302, -3.0627, 1.3069], [2.6347, -1.2933, 3.6829], [-2.0363, 3.3355, 2.6280]],
  "species": ["V", "V", "V", "C", "Pt"],
  "frac_coords": [[0.0000, 0.5000, 0.0000], [0.0000, 0.0000, 0.5000], [0.5000, 0.0000, 0.0000], [0.5000, 0.5000, 0.5000], [0.0000, 0.0000, 0.0000]],
  "de_polymorph_ev_per_atom": 2.620,
  "vol_a3_per_cell": 104
}



Record 11
{
  "formula": "V2Pt2C",
  "functional": "PBE",
  "state": "optimized geometry",
  "lattice_angstrom": [[5.3805, 0.0000, 0.0000], [0.0000, 5.3805, 0.0000], [0.0000, 0.0000, 4.5724]],
  "species": ["V", "V", "V", "V", "Pt", "Pt", "Pt", "Pt", "C", "C"],
  "frac_coords": [[0.1624, 0.3376, 0.0000], [0.6624, 0.1624, 0.0000], [0.8376, 0.6624, 0.0000], [0.3376, 0.8376, 0.0000], [0.8285, 0.3285, 0.5000], [0.3285, 0.1715, 0.5000], [0.1715, 0.6715, 0.5000], [0.6715, 0.8285, 0.5000], [0.5000, 0.5000, 0.0000], [0.0000, 0.0000, 0.0000]],
  "de_polymorph_ev_per_atom": 0.000,
  "vol_a3_per_cell": 132
}



Record 12
{
  "formula": "V8PtC2",
  "functional": "PBE",
  "state": "optimized geometry",
  "lattice_angstrom": [[4.2001, -0.0224, -0.0337], [-0.7240, 5.8748, 0.0014], [-0.7240, -2.2613, 5.4222]],
  "species": ["V", "V", "V", "V", "V", "V", "V", "V", "Pt", "C", "C"],
  "frac_coords": [[0.0857, 0.0739, 0.3406], [0.5000, 0.2633, 0.7367], [0.0857, 0.3406, 0.0739], [0.7108, 0.3979, 0.3979], [0.5000, 0.7367, 0.2633], [0.9143, 0.6594, 0.9261], [0.9143, 0.9261, 0.6594], [0.2892, 0.6021, 0.6021], [0.5000, 0.0000, 0.0000], [0.0000, 0.6856, 0.3144], [0.0000, 0.3144, 0.6856]],
  "vol_a3_per_cell": 134
}



Record 13
{
  "formula": "V3Pt2C",
  "functional": "PBE",
  "state": "optimized geometry",
  "lattice_angstrom": [[-4.9887, 4.1388, 1.8644], [-2.0536, -4.5282, 4.5575], [4.0483, 2.8032, 4.6094]],
  "species": ["C", "C", "C", "C", "V", "V", "V", "V", "V", "V", "V", "V", "V", "V", "V", "V", "Pt", "Pt", "Pt", "Pt", "Pt", "Pt", "Pt", "Pt"],
  "frac_coords": [[0.3750, 0.3750, 0.3750], [0.1250, 0.6250, 0.8750], [0.6250, 0.8750, 0.1250], [0.8750, 0.1250, 0.6250], [0.2017, 0.4517, 0.1250], [0.8750, 0.7017, 0.0483], [0.7983, 0.9517, 0.3750], [0.9517, 0.3750, 0.7983], [0.1250, 0.2017, 0.4517], [0.7017, 0.0483, 0.8750], [0.4517, 0.1250, 0.2017], [0.3750, 0.7983, 0.9517], [0.5483, 0.6250, 0.2983], [0.0483, 0.8750, 0.7017], [0.2983, 0.5483, 0.6250], [0.6250, 0.2983, 0.5483], [0.6934, 0.6934, 0.6934], [0.5566, 0.4434, 0.9434], [0.8066, 0.3066, 0.1934], [0.9434, 0.5566, 0.4434], [0.0566, 0.0566, 0.0566], [0.4434, 0.9434, 0.5566], [0.3066, 0.1934, 0.8066], [0.1934, 0.8066, 0.3066]],
  "de_polymorph_ev_per_atom": 0.000,
  "vol_a3_per_cell": 307
}



Record 14
{
  "formula": "V6Pt3C",
  "functional": "PBE",
  "state": "optimized geometry",
  "lattice_angstrom": [[-6.2702, 3.2765, -2.1845], [-5.8751, 0.9776, 2.6071], [-3.3800, 5.2404, 1.8393]],
  "species": ["V", "V", "V", "V", "V", "V", "Pt", "Pt", "Pt", "C"],
  "frac_coords": [[0.0958, 0.7441, 0.7441], [0.3898, 0.1860, 0.6627], [0.3898, 0.6627, 0.1860], [0.6102, 0.3373, 0.8140], [0.6102, 0.8140, 0.3373], [0.9042, 0.2559, 0.2559], [0.1587, 0.3328, 0.3328], [0.0000, 0.0000, 0.0000], [0.8413, 0.6672, 0.6672], [0.5000, 0.5000, 0.5000]],
  "vol_a3_per_cell": 141
}



Record 15
{
  "formula": "V4PtC",
  "functional": "PBE",
  "state": "optimized geometry",
  "lattice_angstrom": [[-2.1891, 1.7153, 0.1984], [-0.1062, -0.7848, 5.6159], [3.5036, 4.4584, 0.1131]],
  "species": ["V", "V", "V", "V", "C", "Pt"],
  "frac_coords": [[0.5000, 0.2393, 0.7607], [0.0000, 0.8215, 0.8215], [0.5000, 0.7607, 0.2393], [0.0000, 0.1785, 0.1785], [0.5000, 0.0000, 0.0000], [0.0000, 0.5000, 0.5000]],
  "vol_a3_per_cell": 89
}



Record 16
{
  "formula": "V2PtWC",
  "functional": "PBE",
  "state": "optimized geometry",
  "lattice_angstrom": [[3.9910, 0.0000, 0.0000], [0.0000, 3.9910, 0.0000], [0.0000, 0.0000, 4.1095]],
  "species": ["W", "Pt", "V", "V", "C"],
  "frac_coords": [[0.0000, 0.0000, 0.5000], [0.5000, 0.5000, 0.5000], [0.5000, 0.0000, 0.0000], [0.0000, 0.5000, 0.0000], [0.0000, 0.0000, 0.0000]],
  "vol_a3_per_cell": 65
}



Record 17
{
  "formula": "YPt2C2",
  "functional": "PBE",
  "state": "optimized geometry",
  "lattice_angstrom": [[-0.1311, 3.2807, -2.2937], [-4.0025, -0.1428, 0.0246], [-2.1333, 4.0407, 2.4045]],
  "species": ["Y", "C", "C", "Pt", "Pt"],
  "frac_coords": [[0.0000, 0.0000, 0.0000], [0.2500, 0.7500, 0.5000], [0.7500, 0.2500, 0.5000], [0.6613, 0.6613, 0.6774], [0.3387, 0.3387, 0.3226]],
  "de_polymorph_ev_per_atom": 0.000,
  "vol_a3_per_cell": 69
}



Record 18
{
  "formula": "YPtC3",
  "functional": "PBE",
  "state": "optimized geometry",
  "lattice_angstrom": [[-3.6482, -1.0013, -1.5049], [-0.1668, -3.1887, 2.5260], [-1.7999, 2.3250, 2.8162]],
  "species": ["C", "C", "C", "Pt", "Y"],
  "frac_coords": [[0.5000, 0.0000, 0.0000], [0.0000, 0.5000, 0.0000], [0.0000, 0.0000, 0.5000], [0.0000, 0.0000, 0.0000], [0.5000, 0.5000, 0.5000]],
  "de_polymorph_ev_per_atom": 0.000,
  "vol_a3_per_cell": 67
}



Record 19
{
  "formula": "Y6Pt2C",
  "functional": "PBE",
  "state": "optimized geometry",
  "lattice_angstrom": [[6.5861, 0.0000, -0.3781], [0.0000, 7.1011, 0.0000], [0.3076, 0.0000, 9.5749]],
  "species": ["Pt", "Pt", "Pt", "Pt", "C", "C", "Y", "Y", "Y", "Y", "Y", "Y", "Y", "Y", "Y", "Y", "Y", "Y"],
  "frac_coords": [[0.9637, 0.4105, 0.7543], [0.5363, 0.9105, 0.7457], [0.4637, 0.0895, 0.2543], [0.0363, 0.5895, 0.2457], [0.5000, 0.5000, 0.0000], [0.0000, 0.0000, 0.5000], [0.6146, 0.4653, 0.2425], [0.8216, 0.7007, 0.5589], [0.1146, 0.0347, 0.7425], [0.3050, 0.8197, 0.4439], [0.6950, 0.1803, 0.5561], [0.1784, 0.2993, 0.4411], [0.3854, 0.5347, 0.7575], [0.8854, 0.9653, 0.2575], [0.6784, 0.2007, 0.9411], [0.1950, 0.3197, 0.0561], [0.8050, 0.6803, 0.9439], [0.3216, 0.7993, 0.0589]],
  "vol_a3_per_cell": 449
}



Record 20
{
  "formula": "Y2PtC",
  "functional": "PBE",
  "state": "optimized geometry",
  "lattice_angstrom": [[0.0000, 3.3680, 3.3680], [3.3680, 0.0000, 3.3680], [3.3680, 3.3680, 0.0000]],
  "species": ["Y", "Y", "C", "Pt"],
  "frac_coords": [[0.7500, 0.7500, 0.7500], [0.2500, 0.2500, 0.2500], [0.0000, 0.0000, 0.0000], [0.5000, 0.5000, 0.5000]],
  "de_polymorph_ev_per_atom": 0.209,
  "vol_a3_per_cell": 76
}



Record 21
{
  "formula": "YPtC3",
  "functional": "PBE",
  "state": "optimized geometry",
  "lattice_angstrom": [[-3.7716, -2.1840, -0.4893], [2.0564, -3.0033, -2.4465], [0.8833, -2.3334, 3.6069]],
  "species": ["C", "C", "C", "Pt", "Y"],
  "frac_coords": [[0.5000, 0.0000, 0.0000], [0.0000, 0.5000, 0.0000], [0.0000, 0.0000, 0.5000], [0.5000, 0.5000, 0.5000], [0.0000, 0.0000, 0.0000]],
  "de_polymorph_ev_per_atom": 1.440,
  "vol_a3_per_cell": 84
}



Record 22
{
  "formula": "Y2PtC",
  "functional": "PBE",
  "state": "optimized geometry",
  "lattice_angstrom": [[6.7629, 0.0000, 0.0000], [0.0000, 6.7629, 0.0000], [3.3815, 3.3815, 3.8424]],
  "species": ["C", "C", "Pt", "Pt", "Y", "Y", "Y", "Y"],
  "frac_coords": [[0.2500, 0.7500, 0.5000], [0.5000, 0.5000, 0.0000], [0.0000, 0.0000, 0.0000], [0.7500, 0.2500, 0.5000], [0.5644, 0.1250, 0.2500], [0.8750, 0.8144, 0.7500], [0.1856, 0.6250, 0.2500], [0.3750, 0.4356, 0.7500]],
  "de_polymorph_ev_per_atom": 0.000,
  "vol_a3_per_cell": 176
}



Record 23
{
  "formula": "YPt2C2",
  "functional": "PBE",
  "state": "optimized geometry",
  "lattice_angstrom": [[-3.5265, -4.4497, -4.7086], [-4.1119, -2.6054, 5.5417], [-2.2944, 2.4173, -0.5660]],
  "species": ["Y", "Y", "C", "C", "C", "C", "Pt", "Pt", "Pt", "Pt"],
  "frac_coords": [[0.0000, 0.0000, 0.0000], [0.5000, 0.5000, 0.0000], [0.2900, 0.7900, 0.5000], [0.7900, 0.7100, 0.5000], [0.7100, 0.2100, 0.5000], [0.2100, 0.2900, 0.5000], [0.1229, 0.3771, 0.0000], [0.8771, 0.6229, 0.0000], [0.3771, 0.8771, 0.0000], [0.6229, 0.1229, 0.0000]],
  "de_polymorph_ev_per_atom": 0.658,
  "vol_a3_per_cell": 184
}



Record 24
{
  "formula": "Y4Pt2C",
  "functional": "PBE",
  "state": "optimized geometry",
  "lattice_angstrom": [[4.7688, 0.0000, 0.0000], [0.0000, 4.7688, 0.0000], [2.3844, 2.3844, 7.2030]],
  "species": ["Y", "Y", "Y", "Y", "C", "Pt", "Pt"],
  "frac_coords": [[0.8269, 0.8269, 0.3461], [0.0000, 0.5000, 0.0000], [0.1731, 0.1731, 0.6539], [0.5000, 0.0000, 0.0000], [0.0000, 0.0000, 0.0000], [0.6323, 0.6323, 0.7354], [0.3677, 0.3677, 0.2646]],
  "vol_a3_per_cell": 164
}



Sequential E_tot output: -9.49; -9.75; -8.80; -8.73; -8.99; -8.31; -6.93; -9.00; -7.10; -6.37; -7.98; -9.11; -8.50; -8.43; -8.49; -9.59; -7.24; -6.45; -7.39; -7.18; -5.01; -7.39; -6.58; -7.41 eV per atom